*one*
Sc4GaRu (PBE, relaxed); total magnetization = 0.00 μB/cell
1.0
3.2305 -0.0006 0.0002
0.0006 3.2305 0.0002
-0.0006 -0.0006 11.7495
Sc Ga Ru
4 1 1
Direct
0.5000 0.5000 0.8689
0.5000 0.5000 0.1311
0.0000 0.0000 0.6522
0.0000 0.0000 0.3478
0.5000 0.5000 0.5000
0.0000 0.0000 0.0000

=====

*two*
Sc4GaRu (PBE, relaxed); total magnetization = 0.00 μB/cell
1.0
-2.6990 -2.2323 -2.9667
-1.8508 -4.0337 1.1681
-7.4687 1.4443 2.1568
Sc Ga Ru
4 1 1
Direct
0.6307 0.6307 0.1079
0.3693 0.3693 0.8921
0.1178 0.1178 0.6466
0.8822 0.8822 0.3534
0.5000 0.5000 0.5000
0.0000 0.0000 0.0000

=====

What is the stability order? It is *one*, *two*, from most stable to least stable.